No. 1
# CaZrAl2

A relaxed CaZrAl2 crystal (PBE, Alexandria).

## Properties
crystal system = orthorhombic

```
data_CaZrAl2
_symmetry_space_group_name_H-M 'P m m 2'
_symmetry_Int_Tables_number 25
_symmetry_space_group_name_Hall 'P 2 -2'
_cell_length_a 3.3326
_cell_length_b 4.5054
_cell_length_c 6.0964
_cell_angle_alpha 90.00
_cell_angle_beta 90.00
_cell_angle_gamma 90.00
loop_
_atom_site_label
_atom_site_fract_x
_atom_site_fract_y
_atom_site_fract_z
Ca1 0.0000 0.0000 0.0000
Zr1 0.5000 0.5000 0.3153
Al1 0.0000 0.0000 0.4900
Al2 0.5000 0.5000 0.7797
```

---

No. 2
# CaZr2Al

A relaxed CaZr2Al crystal (PBE, Alexandria).

## Properties
crystal system = monoclinic

```
data_CaZr2Al
_symmetry_space_group_name_H-M 'P 1 2/m 1'
_symmetry_Int_Tables_number 10
_symmetry_space_group_name_Hall '-P 2y'
_cell_length_a 3.2032
_cell_length_b 5.1244
_cell_length_c 5.9656
_cell_angle_alpha 90.00
_cell_angle_beta 99.67
_cell_angle_gamma 90.00
loop_
_atom_site_label
_atom_site_fract_x
_atom_site_fract_y
_atom_site_fract_z
Ca1 0.0000 0.0000 0.0000
Zr1 0.3044 0.5000 0.7131
Al1 0.5000 0.0000 0.5000
```

---

What ΔH_f (0 K) values result from the calculations? In sequence: 0.27; 0.33 eV per formula unit.
What total DFT energy (no corrections) values result from the calculations? In sequence: -4.441; -5.628 eV per atom.